Entry 1:
Material: TcPt2Se
Method: DFT, SCAN
State: single point on PBEsol structure

VASP energy = -48.748 eV/atom
ρ = 15.29 g/cm³
uncorrected formation energy = 0.13 eV/atom
symmetry = P4mm, No. 99

Cell lengths 2.8531, 2.8531, 7.5681 Å; angles 90.00, 90.00, 90.00 degrees
Element x y z (fractional)
Tc 0.0000 0.0000 0.0000
Pt 0.0000 0.0000 0.4940
Pt 0.5000 0.5000 0.2394
Se 0.5000 0.5000 0.7926

Entry 2:
Material: TcPtSe
Method: DFT, SCAN
State: single point on PBEsol structure

VASP energy = -41.635 eV/atom
ρ = 11.83 g/cm³
uncorrected formation energy = 0.14 eV/atom
symmetry = F-43m, No. 216

Cell lengths 4.1954, 4.1954, 4.1954 Å; angles 60.00, 60.00, 60.00 degrees
Element x y z (fractional)
Tc 0.0000 0.0000 0.0000
Pt 0.2500 0.2500 0.2500
Se 0.7500 0.7500 0.7500